A relaxed AlIrRu2 crystal, computed with PBE-GGA.

Geometry as POSCAR:
```
AlIrRu2
1.0
2.8024 0.0000 0.0000
0.0000 2.8024 0.0000
0.0000 0.0000 7.1077
Al Ir Ru
1 1 2
direct
0.0000 0.0000 0.0000
0.5000 0.5000 0.2371
0.0000 0.0000 0.5070
0.5000 0.5000 0.7554
```

Output
* formation energy: -29.4 kJ/mol of atoms
* size of the total moment: 0.0 Bohr magnetons per cell
* calculated volume: 13.95 A^3/atom



A relaxed AlIrRu2 crystal, computed with PBE-GGA.

Geometry as POSCAR:
```
AlIrRu2
1.0
3.8226 0.0000 0.0000
0.0000 3.8226 0.0000
0.0000 0.0000 7.7136
Al Ir Ru
2 2 4
direct
0.0000 0.0000 0.0000
0.5000 0.5000 0.5000
0.0000 0.5000 0.7500
0.5000 0.0000 0.2500
0.0000 0.0000 0.5000
0.0000 0.5000 0.2500
0.5000 0.0000 0.7500
0.5000 0.5000 0.0000
```

Output
* formation energy: -24.8 kJ/mol of atoms
* size of the total moment: 0.0 Bohr magnetons per cell
* calculated volume: 14.09 A^3/atom



A relaxed AlIr2Ru crystal, computed with PBE-GGA.

Geometry as POSCAR:
```
AlIr2Ru
1.0
5.4111 0.0000 0.0000
0.0000 5.4111 0.0000
0.0000 0.0000 11.6886
Al Ir Ru
4 8 4
direct
0.0000 0.0000 0.0000
0.0000 0.5000 0.2500
0.5000 0.0000 0.7500
0.5000 0.5000 0.5000
0.2394 0.2500 0.6250
0.2500 0.7394 0.8750
0.2500 0.7606 0.3750
0.2606 0.2500 0.1250
0.7394 0.7500 0.1250
0.7500 0.2394 0.3750
0.7500 0.2606 0.8750
0.7606 0.7500 0.6250
0.0000 0.0000 0.5000
0.0000 0.5000 0.7500
0.5000 0.0000 0.2500
0.5000 0.5000 0.0000
```

Output
* formation energy: 69.2 kJ/mol of atoms
* size of the total moment: 0.0 Bohr magnetons per cell
* calculated volume: 21.39 A^3/atom